1.
{
  "formula": "Y6Si2Te3S",
  "functional": "PBE-GGA",
  "state": "relaxed",
  "energy_ev_per_atom": -6.60,
  "magmom_total_mub_per_cell": 0.00,
  "spacegroup": "C2/m (12)",
  "e_form_raw_ev_per_atom": -1.34,
  "lattice": [[9.297, -2.090, 0.000], [9.297, 2.090, 0.000], [-2.265, 0.000, 8.252]],
  "species": ["Y", "Y", "Y", "Y", "Y", "Y", "Si", "Si", "Te", "Te", "Te", "S"],
  "frac_coords": [[0.010, 0.010, 0.232], [0.327, 0.327, 0.436], [0.339, 0.339, 0.897], [0.661, 0.661, 0.103], [0.673, 0.673, 0.564], [0.990, 0.990, 0.768], [0.166, 0.166, 0.330], [0.834, 0.834, 0.670], [0.165, 0.165, 0.834], [0.500, 0.500, 0.500], [0.835, 0.835, 0.166], [0.500, 0.500, 0.000]]
}

2.
{
  "formula": "Th5SiS4",
  "functional": "PBE-GGA",
  "state": "relaxed",
  "energy_ev_per_atom": -7.53,
  "magmom_total_mub_per_cell": 0.00,
  "spacegroup": "Immm (71)",
  "e_form_raw_ev_per_atom": -1.63,
  "lattice": [[-2.070, 2.889, 10.122], [2.070, -2.889, 10.122], [2.070, 2.889, -10.122]],
  "species": ["Th", "Th", "Th", "Th", "Th", "Si", "S", "S", "S", "S"],
  "frac_coords": [[0.000, 0.000, 0.000], [0.200, 0.200, 0.000], [0.398, 0.398, 0.000], [0.602, 0.602, 0.000], [0.800, 0.800, 0.000], [0.500, 0.000, 0.500], [0.100, 0.600, 0.500], [0.298, 0.798, 0.500], [0.702, 0.202, 0.500], [0.900, 0.400, 0.500]]
}